Entry from the Alexandria database: Sc2MnTc at its PBEsol-relaxed geometry (meta-GGA SCAN).

Values from the calculation:
N(E_F), states/eV/f.u.: 3.6
Formation energy, eV/atom: -0.06
Volume, A^3/atom: 17.2

Lattice parameters (Å, degrees): 2.9244 2.9244 8.0418 90.00 90.00 90.00
Atoms (fractional coordinates):
1 Sc 0.0000 0.0000 0.0000
2 Sc 0.5000 0.5000 0.3670
3 Mn 0.5000 0.5000 0.7725
4 Tc 0.0000 0.0000 0.6120